Compound: LiHgRu2
Source: the Alexandria database
Functional: PBE
Structure: optimized geometry

Summary:
* density: 10.68 g/cm3
* energy of formation: 0.575 eV/atom
* size of the total moment: 1.05 μB/cell
* total DFT energy (no corrections): -4.62 eV per atom
* Fermi-level density of states: 1.12 states/eV/atom

```
LiHgRu2
1.0
1.418 -2.363 0.000
1.418 2.363 0.000
0.000 0.000 9.501
Li Hg Ru
1 1 2
direct
0.000 0.000 0.000 Li
0.000 0.000 0.500 Hg
0.500 0.500 0.238 Ru
0.500 0.500 0.762 Ru
```



Compound: Li4Pa3TiN8
Source: the Alexandria database
Functional: PBE
Structure: optimized geometry

Summary:
* density: 7.16 g/cm3
* size of the total moment: 0.00 μB/cell
* total DFT energy (no corrections): -8.04 eV per atom
* raw formation energy: -26.0 kcal/mol of atoms
* Fermi-level density of states: 0.39 states/eV/atom

```
Li4Pa3TiN8
1.0
3.416 1.972 5.055
-3.416 1.972 5.055
0.000 -3.944 5.055
Li Pa Ti N
4 3 1 8
direct
0.000 0.000 0.000 Li
0.000 0.500 0.500 Li
0.500 0.000 0.500 Li
0.500 0.500 0.000 Li
0.000 0.000 0.500 Pa
0.000 0.500 0.000 Pa
0.500 0.000 0.000 Pa
0.500 0.500 0.500 Ti
0.239 0.239 0.239 N
0.250 0.730 0.730 N
0.270 0.270 0.750 N
0.270 0.750 0.270 N
0.730 0.250 0.730 N
0.730 0.730 0.250 N
0.750 0.270 0.270 N
0.761 0.761 0.761 N
```